(1)
The following is a PBE calculation of a relaxed SmGa2Tc2C crystal, from Alexandria via LeMat-Bulk.

```
SmGa2Tc2C
1.0
4.1658 0.0000 0.0000
0.0000 4.1658 0.0000
0.0000 0.0000 5.5792
Sm Ga Tc C
1 2 2 1
Cartesian
0.0000 0.0000 0.0000
2.0829 2.0829 1.2352
2.0829 2.0829 4.3441
0.0000 2.0829 2.7896
2.0829 0.0000 2.7896
0.0000 0.0000 2.7896
```

Total DFT energy (no corrections) = -43.09 eV/cell

=====

(2)
The following is a PBE calculation of a relaxed CdPt2F crystal, from Alexandria via LeMat-Bulk.

```
CdPt2F
1.0
0.0000 3.1659 3.1659
3.1659 0.0000 3.1659
3.1659 3.1659 0.0000
Cd Pt F
1 2 1
Cartesian
0.0000 0.0000 0.0000
1.5830 1.5830 1.5830
4.7489 4.7489 4.7489
3.1659 3.1659 3.1659
```

Distance to the lowest polymorph of the same formula = 0.355 eV per atom
Formation energy (no corrections) = -0.003 eV per atom

=====

(3)
The following is a PBE calculation of a relaxed LiMnAs2Au crystal, from Alexandria via LeMat-Bulk.

```
LiMnAs2Au
1.0
4.4658 0.0000 0.0000
0.0000 4.4658 0.0000
0.0000 0.0000 4.7217
Li Mn As Au
1 1 2 1
Cartesian
0.0000 0.0000 0.0000
0.0000 0.0000 2.3608
0.0000 2.2329 2.3608
2.2329 0.0000 2.3608
2.2329 2.2329 0.0000
```

Total DFT energy (no corrections) = -22.40 eV/cell

=====

(4)
The following is a PBE calculation of a relaxed Tb2PrTm3 crystal, from Alexandria via LeMat-Bulk.

```
Tb2PrTm3
1.0
5.3554 -3.0887 0.0000
5.3554 3.0887 0.0000
0.0000 0.0000 11.4814
Tb Pr Tm
4 2 6
Cartesian
1.7824 1.0246 2.8703
1.7824 -1.0246 8.6110
8.9284 1.0246 2.8703
8.9284 -1.0246 8.6110
5.3554 1.0202 2.8703
5.3554 -1.0202 8.6110
0.0000 0.0000 0.0000
0.0000 0.0000 5.7407
3.5603 0.0000 0.0000
3.5603 0.0000 5.7407
7.1505 0.0000 0.0000
7.1505 0.0000 5.7407
```

Distance to the lowest polymorph of the same formula = 0.000 eV per atom